Here is a PBEsol-optimized structure of Mg4FeO5 from Alexandria. Energies are from meta-GGA SCAN.

a b c (Å): 2.9724 2.9724 36.8295
angles (deg): 90.00 90.00 120.00
Space group R-3m (No. 166, hexagonal axes)
Unique sites:
Mg1 0.0000 0.0000 0.0994 (multiplicity 6)
Mg2 0.0000 0.0000 0.3002 (multiplicity 6)
Fe1 0.0000 0.0000 0.5000 (multiplicity 3)
O1 0.0000 0.0000 0.0000 (multiplicity 3)
O2 0.0000 0.0000 0.2018 (multiplicity 6)
O3 0.0000 0.0000 0.3995 (multiplicity 6)

Polymorph energy (0 for the lowest one): 0 meV per atom
Total magnetic moment: 4.00 μB/f.u.
Final energy: -287.4 eV per cell
Crystal system: trigonal



Here is a PBEsol-optimized structure of MgFeP2O7 from Alexandria. Energies are from meta-GGA SCAN.

a b c (Å): 6.134 6.678 7.015
angles (deg): 77.97 65.42 79.73
Space group P-1 (No. 2)
Unique sites:
Mg1 0.195 0.160 0.382 (multiplicity 2)
Fe1 0.417 0.310 0.684 (multiplicity 2)
P1 0.142 0.635 0.196 (multiplicity 2)
P2 0.269 0.820 0.744 (multiplicity 2)
O1 0.095 0.924 0.640 (multiplicity 2)
O2 0.100 0.757 0.986 (multiplicity 2)
O3 0.116 0.327 0.631 (multiplicity 2)
O4 0.216 0.412 0.169 (multiplicity 2)
O5 0.318 0.747 0.226 (multiplicity 2)
O6 0.408 0.625 0.648 (multiplicity 2)
O7 0.448 0.963 0.726 (multiplicity 2)

Total magnetic moment: 4.00 μB/f.u.
Final energy: -229.1 eV per cell
Crystal system: triclinic



Here is a PBEsol-optimized structure of MgFeSi2O6 from Alexandria. Energies are from meta-GGA SCAN.

a b c (Å): 5.109 18.713 8.769
angles (deg): 90.00 90.00 90.00
Space group Pbca (No. 61)
Unique sites:
Mg1 0.160 0.122 0.019 (multiplicity 8)
Fe1 0.151 0.124 0.669 (multiplicity 8)
Si1 0.027 0.728 0.154 (multiplicity 8)
Si2 0.201 0.028 0.341 (multiplicity 8)
O1 0.006 0.686 0.649 (multiplicity 8)
O2 0.020 0.687 0.994 (multiplicity 8)
O3 0.111 0.554 0.192 (multiplicity 8)
O4 0.180 0.569 0.485 (multiplicity 8)
O5 0.186 0.198 0.219 (multiplicity 8)
O6 0.199 0.559 0.846 (multiplicity 8)

Polymorph energy (0 for the lowest one): 0 meV per atom
Total magnetic moment: 4.00 μB/f.u.
Final energy: -860.9 eV per cell
Crystal system: orthorhombic



Here is a PBEsol-optimized structure of MgFeSi4O10 from Alexandria. Energies are from meta-GGA SCAN.

a b c (Å): 7.226 7.226 14.797
angles (deg): 90.00 90.00 90.00
Space group P4/ncc (No. 130, origin choice 2)
Unique sites:
Mg1 0.250 0.750 0.000 (multiplicity 4)
Fe1 0.250 0.250 0.068 (multiplicity 4)
Si1 0.010 0.586 0.144 (multiplicity 16)
O1 0.003 0.692 0.623 (multiplicity 16)
O2 0.014 0.666 0.426 (multiplicity 16)
O3 0.057 0.557 0.250 (multiplicity 8)

Total magnetic moment: 4.00 μB/f.u.
Final energy: -680.8 eV per cell
Crystal system: tetragonal



Here is a PBEsol-optimized structure of MgFeSiO4 from Alexandria. Energies are from meta-GGA SCAN.

a b c (Å): 10.242 6.058 4.764
angles (deg): 90.00 90.00 90.00
Space group Pnma (No. 62)
Unique sites:
Mg1 0.000 0.000 0.000 (multiplicity 4)
Fe1 0.221 0.250 0.485 (multiplicity 4)
Si1 0.096 0.750 0.429 (multiplicity 4)
O1 0.051 0.250 0.725 (multiplicity 4)
O2 0.088 0.750 0.770 (multiplicity 4)
O3 0.164 0.532 0.282 (multiplicity 8)

Total magnetic moment: 4.00 μB/f.u.
Final energy: -304.2 eV per cell
Crystal system: orthorhombic



Here is a PBEsol-optimized structure of MgFeSi2O6 from Alexandria. Energies are from meta-GGA SCAN.

a b c (Å): 9.543 8.769 4.929
angles (deg): 90.00 100.33 90.00
Space group C2/c (No. 15)
Unique sites:
Mg1 0.000 0.225 0.250 (multiplicity 4)
Fe1 0.000 0.420 0.750 (multiplicity 4)
Si1 0.198 0.094 0.786 (multiplicity 8)
O1 0.118 0.238 0.631 (multiplicity 8)
O2 0.129 0.401 0.150 (multiplicity 8)
O3 0.144 0.059 0.087 (multiplicity 8)

Polymorph energy (0 for the lowest one): 3 meV per atom
Total magnetic moment: 4.00 μB/f.u.
Final energy: -430.3 eV per cell
Crystal system: monoclinic



Here is a PBEsol-optimized structure of Mg30TiFeO32 from Alexandria. Energies are from meta-GGA SCAN.

a b c (Å): 8.455 8.455 8.439
angles (deg): 90.00 90.00 90.00
Space group P4/mmm (No. 123)
Unique sites:
Mg1 0.000 0.000 0.000 (multiplicity 1)
Mg2 0.000 0.000 0.500 (multiplicity 1)
Mg3 0.000 0.250 0.250 (multiplicity 8)
Mg4 0.000 0.500 0.000 (multiplicity 2)
Mg5 0.000 0.500 0.500 (multiplicity 2)
Mg6 0.249 0.500 0.247 (multiplicity 8)
Mg7 0.250 0.250 0.500 (multiplicity 4)
Mg8 0.251 0.251 0.000 (multiplicity 4)
Ti1 0.500 0.500 0.500 (multiplicity 1)
Fe1 0.500 0.500 0.000 (multiplicity 1)
O1 0.000 0.000 0.250 (multiplicity 2)
O2 0.000 0.249 0.000 (multiplicity 4)
O3 0.000 0.250 0.500 (multiplicity 4)
O4 0.000 0.500 0.251 (multiplicity 4)
O5 0.243 0.500 0.000 (multiplicity 4)
O6 0.247 0.500 0.500 (multiplicity 4)
O7 0.251 0.251 0.250 (multiplicity 8)
O8 0.500 0.500 0.265 (multiplicity 2)

Total magnetic moment: 3.93 μB/f.u.
Final energy: -570.3 eV per cell
Crystal system: tetragonal



Here is a PBEsol-optimized structure of MgTi4FeO10 from Alexandria. Energies are from meta-GGA SCAN.

a b c (Å): 10.017 3.744 9.684
angles (deg): 90.00 90.00 90.00
Space group Amm2 (No. 38)
Unique sites:
Mg1 0.000 0.000 0.000 (multiplicity 2)
Ti1 0.183 0.000 0.670 (multiplicity 4)
Ti2 0.316 0.000 0.939 (multiplicity 4)
Fe1 0.500 0.000 0.610 (multiplicity 2)
O1 0.000 0.000 0.587 (multiplicity 2)
O2 0.137 0.000 0.849 (multiplicity 4)
O3 0.188 0.000 0.117 (multiplicity 4)
O4 0.310 0.000 0.489 (multiplicity 4)
O5 0.364 0.000 0.755 (multiplicity 4)
O6 0.500 0.000 0.016 (multiplicity 2)

Total magnetic moment: 4.00 μB/f.u.
Final energy: -397.1 eV per cell
Crystal system: orthorhombic



Here is a PBEsol-optimized structure of Mg14ZnFeO16 from Alexandria. Energies are from meta-GGA SCAN.

a b c (Å): 4.220 8.457 8.462
angles (deg): 90.00 90.00 90.00
Space group Pmmm (No. 47)
Unique sites:
Mg1 0.000 0.000 0.000 (multiplicity 1)
Mg2 0.000 0.250 0.250 (multiplicity 4)
Mg3 0.000 0.500 0.000 (multiplicity 1)
Mg4 0.500 0.000 0.251 (multiplicity 2)
Mg5 0.500 0.250 0.000 (multiplicity 2)
Mg6 0.500 0.250 0.500 (multiplicity 2)
Mg7 0.500 0.500 0.251 (multiplicity 2)
Zn1 0.000 0.000 0.500 (multiplicity 1)
Fe1 0.000 0.500 0.500 (multiplicity 1)
O1 0.000 0.000 0.247 (multiplicity 2)
O2 0.000 0.249 0.500 (multiplicity 2)
O3 0.000 0.250 0.000 (multiplicity 2)
O4 0.000 0.500 0.246 (multiplicity 2)
O5 0.500 0.000 0.000 (multiplicity 1)
O6 0.500 0.000 0.500 (multiplicity 1)
O7 0.500 0.250 0.251 (multiplicity 4)
O8 0.500 0.500 0.000 (multiplicity 1)
O9 0.500 0.500 0.500 (multiplicity 1)

Polymorph energy (0 for the lowest one): 0 meV per atom
Total magnetic moment: 4.00 μB/f.u.
Final energy: -290.7 eV per cell
Crystal system: orthorhombic



Here is a PBEsol-optimized structure of Mg14ZnFeO16 from Alexandria. Energies are from meta-GGA SCAN.

a b c (Å): 8.458 8.458 4.219
angles (deg): 90.00 90.00 90.00
Space group P4/mmm (No. 123)
Unique sites:
Mg1 0.000 0.250 0.000 (multiplicity 4)
Mg2 0.000 0.500 0.500 (multiplicity 2)
Mg3 0.250 0.250 0.500 (multiplicity 4)
Mg4 0.250 0.500 0.000 (multiplicity 4)
Zn1 0.000 0.000 0.500 (multiplicity 1)
Fe1 0.500 0.500 0.500 (multiplicity 1)
O1 0.000 0.000 0.000 (multiplicity 1)
O2 0.000 0.253 0.500 (multiplicity 4)
O3 0.000 0.500 0.000 (multiplicity 2)
O4 0.247 0.500 0.500 (multiplicity 4)
O5 0.250 0.250 0.000 (multiplicity 4)
O6 0.500 0.500 0.000 (multiplicity 1)

Polymorph energy (0 for the lowest one): 4 meV per atom
Total magnetic moment: 4.00 μB/f.u.
Final energy: -290.6 eV per cell
Crystal system: tetragonal



Number 1: formation energy without anion corrections -2.661 eV per atom. Number 2: formation energy without anion corrections -2.456 eV per atom. Number 3: formation energy without anion corrections -2.709 eV per atom. Number 4: formation energy without anion corrections -2.796 eV per atom. Number 5: formation energy without anion corrections -2.573 eV per atom. Number 6: formation energy without anion corrections -2.706 eV per atom. Number 7: formation energy without anion corrections -2.930 eV per atom. Number 8: formation energy without anion corrections -3.063 eV per atom. Number 9: formation energy without anion corrections -2.804 eV per atom. Number 10: formation energy without anion corrections -2.800 eV per atom.